[1]
Material: AlH2Os
Method: DFT, PBE
State: relaxed

POSCAR file:
```
AlH2Os
1.0
-1.9360 1.9360 4.8204
1.9360 -1.9360 4.8204
1.9360 1.9360 -4.8204
Al H Os
2 4 2
Cartesian
0.0000 0.0000 0.0000 Al
0.0000 1.9360 2.4102 Al
0.9680 -0.8244 3.6153 H
1.1116 0.9680 1.2051 H
0.9680 2.7604 -1.2051 H
0.8244 0.9680 6.0255 H
1.9360 0.0000 2.4102 Os
0.0000 0.0000 4.8204 Os
```

Calculated values
SG: I-42d
Polymorph energy (0 for the lowest one), meV per atom: 0.0
Volume, Å³ per cell: 72.3

---

[2]
Material: Y2IrOs2
Method: DFT, PBE
State: relaxed

POSCAR file:
```
Y2IrOs2
1.0
6.7385 0.0000 0.0000
0.0000 6.7385 0.0000
0.0000 0.0000 4.4666
Y Ir Os
4 2 4
Cartesian
1.2195 2.1498 0.0000 Y
2.1498 5.5191 0.0000 Y
4.5888 1.2195 0.0000 Y
5.5191 4.5888 0.0000 Y
0.0000 0.0000 2.2333 Ir
3.3693 3.3693 2.2333 Ir
0.8362 4.2055 2.2333 Os
2.5331 0.8362 2.2333 Os
4.2055 5.9023 2.2333 Os
5.9023 2.5331 2.2333 Os
```

Calculated values
SG: P4/mbm
Polymorph energy (0 for the lowest one), meV per atom: 0.0
Formation energy from the elements, kJ per mole of atoms: -21
Volume, Å³ per cell: 202.8

---

[3]
Material: TbHf5
Method: DFT, PBE
State: relaxed

POSCAR file:
```
TbHf5
1.0
2.2735 -6.8382 0.0000
2.2735 6.8382 0.0000
0.0000 0.0000 4.5339
Tb Hf
1 5
Cartesian
0.0000 0.0000 0.0000 Tb
2.2735 4.4969 2.2669 Hf
2.2735 2.3469 0.0000 Hf
2.2735 0.0000 2.2669 Hf
2.2735 -2.3469 0.0000 Hf
2.2735 -4.4969 2.2669 Hf
```

Calculated values
SG: Cmmm
Formation energy from the elements, kJ per mole of atoms: 14
Volume, Å³ per cell: 141.0

---

[4]
Material: AcCuTe2
Method: DFT, PBE
State: relaxed

POSCAR file:
```
AcCuTe2
1.0
2.5170 1.4532 8.1961
-2.5170 1.4532 8.1961
0.0000 -2.9064 8.1961
Ac Cu Te
1 1 2
Cartesian
0.0000 0.0000 0.0000 Ac
0.0000 0.0000 12.2941 Cu
0.0000 0.0000 9.8580 Te
0.0000 0.0000 14.7301 Te
```

Calculated values
SG: R-3m
E_form (uncorrected), eV per atom: -0.83
Volume, Å³ per cell: 179.9

---

[5]
Material: Ce2CO
Method: DFT, PBE
State: relaxed

POSCAR file:
```
Ce2CO
1.0
1.7632 1.0180 6.2178
-1.7632 1.0180 6.2178
0.0000 -2.0360 6.2178
Ce C O
2 1 1
Cartesian
0.0000 0.0000 0.0000 Ce
0.0000 0.0000 3.2681 Ce
0.0000 0.0000 10.9747 C
0.0000 0.0000 7.7756 O
```

Calculated values
SG: R3m
Polymorph energy (0 for the lowest one), meV per atom: 174.2
E_form (uncorrected), eV per atom: -1.41
Volume, Å³ per cell: 67.0

---

[6]
Material: TaMnBe2Cd
Method: DFT, PBE
State: relaxed

POSCAR file:
```
TaMnBe2Cd
1.0
4.2542 0.0000 0.0000
0.0000 4.2542 0.0000
0.0000 0.0000 4.4236
Ta Mn Be Cd
1 1 2 1
Cartesian
0.0000 0.0000 0.0000 Ta
0.0000 0.0000 2.2118 Mn
0.0000 2.1271 2.2118 Be
2.1271 0.0000 2.2118 Be
2.1271 2.1271 0.0000 Cd
```

Calculated values
SG: P4/mmm
Formation energy from the elements, kJ per mole of atoms: 76
Volume, Å³ per cell: 80.1

---

Number 1: calculated density 10.074 Mg/m³. Number 2: calculated density 12.289 Mg/m³. Number 3: calculated density 12.384 Mg/m³. Number 4: calculated density 5.038 Mg/m³. Number 5: calculated density 7.644 Mg/m³. Number 6: calculated density 7.598 Mg/m³.